Material: RbBaC2
Method: DFT, SCAN
State: single point on PBEsol structure

Lattice parameters (Å, degrees): 9.142 9.142 9.142 147.36 147.36 46.83
Fractional coordinates of all 8 atoms:
Rb  0.000  0.000  0.000
Rb  0.750  0.250  0.500
Ba  0.250  0.750  0.500
Ba  0.500  0.500  0.000
C  0.279  0.625  0.154
C  0.375  0.529  0.654
C  0.471  0.125  0.846
C  0.875  0.721  0.346

Values from the calculation:
The space group is I-42d (122). As for the total energy: -17.914 eV per atom. Its energy of formation from the pure elements is 2208 meV per atom.